Record 1
CaNdHg2 | SCAN | PBEsol geometry

a = 5.276 Å, b = 5.276 Å, c = 5.276 Å
α = 60.00°, β = 60.00°, γ = 60.00°
Atoms (fractional coordinates):
Hg 0.250 0.250 0.250
Ca 0.500 0.500 0.500
Nd 0.000 0.000 0.000
Hg 0.750 0.750 0.750

Output
The calculation puts the formation energy at -73 kJ per mole of atoms.

Record 2
Be3SnGe | SCAN | PBEsol geometry

a = 4.541 Å, b = 4.541 Å, c = 4.541 Å
α = 90.00°, β = 90.00°, γ = 90.00°
Atoms (fractional coordinates):
Be 0.500 0.000 0.000
Sn 0.000 0.000 0.000
Be 0.000 0.500 0.000
Be 0.000 0.000 0.500
Ge 0.500 0.500 0.500

Output
The calculation puts the formation energy at 126 kJ per mole of atoms.

Record 3
SrCa2Re | SCAN | PBEsol geometry

a = 4.940 Å, b = 4.951 Å, c = 5.589 Å
α = 116.29°, β = 116.23°, γ = 90.00°
Atoms (fractional coordinates):
Ca 0.750 0.250 0.501
Sr 0.250 0.750 0.499
Ca 0.000 0.000 0.000
Re 0.500 0.500 0.000

Output
The calculation puts the formation energy at 87 kJ per mole of atoms. Its distance to the lowest polymorph of the same formula is 16.3 meV/atom.

Record 4
LaSc2Rh | SCAN | PBEsol geometry

a = 3.264 Å, b = 3.264 Å, c = 8.296 Å
α = 90.00°, β = 90.00°, γ = 90.00°
Atoms (fractional coordinates):
Sc 0.000 0.000 0.316
Sc 0.000 0.000 0.684
La 0.500 0.500 0.000
Rh 0.500 0.500 0.500

Output
The calculation puts the formation energy at -52 kJ per mole of atoms.

Record 5
CuNiW2N | SCAN | PBEsol geometry

a = 3.715 Å, b = 4.035 Å, c = 4.035 Å
α = 90.00°, β = 90.00°, γ = 90.00°
Atoms (fractional coordinates):
Cu 0.500 0.500 0.500
Ni 0.500 0.000 0.000
N 0.000 0.000 0.000
W 0.000 0.500 0.000
W 0.000 0.000 0.500

Output
The calculation puts the formation energy without anion corrections at 0.1845 eV per atom.

Record 6
SiPAuCl2 | SCAN | PBEsol geometry

a = 4.379 Å, b = 4.379 Å, c = 4.963 Å
α = 90.00°, β = 90.00°, γ = 90.00°
Atoms (fractional coordinates):
Si 0.000 0.000 0.000
Cl 0.500 0.000 0.000
P 0.000 0.000 0.500
Au 0.500 0.500 0.500
Cl 0.000 0.500 0.000

Output
The calculation puts the formation energy without anion corrections at 0.3271 eV per atom.

Record 7
CrCd2Co | SCAN | PBEsol geometry

a = 2.766 Å, b = 2.766 Å, c = 9.263 Å
α = 81.41°, β = 81.41°, γ = 60.00°
Atoms (fractional coordinates):
Cr 0.238 0.238 0.286
Cd 0.760 0.760 0.719
Cd 0.992 0.992 0.025
Co 0.510 0.510 0.470

Output
The calculation puts the formation energy at 39 kJ per mole of atoms. Its distance to the lowest polymorph of the same formula is 140.5 meV/atom.

Record 8
Sr2ScPt | SCAN | PBEsol geometry

a = 3.680 Å, b = 5.665 Å, c = 6.739 Å
α = 114.88°, β = 105.85°, γ = 90.00°
Atoms (fractional coordinates):
Sr 0.807 0.307 0.614
Pt 0.522 0.523 0.045
Sr 0.997 0.997 0.993
Sc 0.174 0.674 0.348

Output
The calculation puts the formation energy at -47 kJ per mole of atoms. Its distance to the lowest polymorph of the same formula is 37.3 meV/atom.